A geometry-optimized LuTcIr structure. Source: OQMD, functional PBE.

```
data_LuTcIr
_cell_length_a 6.201
_cell_length_b 6.201
_cell_length_c 6.201
_cell_angle_alpha 90.00
_cell_angle_beta 90.00
_cell_angle_gamma 90.00
_space_group_name_H-M_alt 'F -4 3 m'
_space_group_IT_number 216
_space_group_name_Hall 'F -4 2 3'
loop_
_atom_site_label
_atom_site_fract_x
_atom_site_fract_y
_atom_site_fract_z
_atom_site_occupancy
Lu1 0.000 0.000 0.000 1
Tc1 0.250 0.250 0.750 1
Ir1 0.000 0.000 0.500 1
```

Summary:
Energy above the most stable polymorph in this dataset ... 0.0 kJ/mol of atoms
Spin magnetization ... 0.0013 μB/atom